Record 1
The following is a DFT calculation (PBE) of a relaxed structure of K2SnCSe.

Properties
**Formation energy without anion corrections**: 3.42 eV/f.u.

abc: 6.6254 6.6254 3.7550
angles: 90.00 90.00 90.00
Closest atoms and distances in Å follow each position.
Fractional positions:
K 0.0000 0.5000 0.0000  2 Se 3.31
K 0.5000 0.0000 0.0000  2 Se 3.31
Sn 0.0000 0.0000 0.5000  2 Sn 3.76, 8 K 3.81
C 0.5000 0.5000 0.5000  2 Se 1.88
Se 0.5000 0.5000 0.0000  2 C 1.88

Record 2
The following is a DFT calculation (PBE) of a relaxed structure of Mg2TaFe.

Properties
**DFT formation energy**: 293 meV per atom

abc: 4.5049 4.5049 6.3853
angles: 90.00 90.00 90.00
Closest atoms and distances in Å follow each position.
Fractional positions:
Mg 0.0000 0.0000 0.0000  4 Ta 2.76, 4 Mg 2.76
Mg 0.0000 0.5000 0.2500  4 Fe 2.76, 4 Mg 2.76
Mg 0.5000 0.0000 0.7500  4 Fe 2.76, 4 Mg 2.76
Mg 0.5000 0.5000 0.5000  4 Ta 2.76, 4 Mg 2.76
Ta 0.0000 0.5000 0.7500  4 Fe 2.76, 4 Mg 2.76
Ta 0.5000 0.0000 0.2500  4 Fe 2.76, 4 Mg 2.76
Fe 0.0000 0.0000 0.5000  4 Ta 2.76, 4 Mg 2.76
Fe 0.5000 0.5000 0.0000  4 Ta 2.76, 4 Mg 2.76

Record 3
The following is a DFT calculation (PBE) of a relaxed structure of CeMn10Si2.

Properties
**Formation energy without anion corrections**: -2.36 eV/f.u.

abc: 6.3433 6.3433 8.0550
angles: 90.00 90.00 98.55
Closest atoms and distances in Å follow each position.
Fractional positions:
Ce 0.1285 0.8715 0.7500  16 Mn 2.92-3.17, 4 Si 3.11
Ce 0.8715 0.1285 0.2500  16 Mn 2.92-3.17, 4 Si 3.11
Mn 0.1254 0.3710 0.7500  7 Mn 2.35-2.55, 2 Si 2.36
Mn 0.1758 0.8242 0.1084  3 Mn 2.28-2.40, 2 Si 2.36
Mn 0.1758 0.8242 0.3916  3 Mn 2.28-2.40, 2 Si 2.36
Mn 0.2168 0.2168 0.0000  8 Mn 2.35-2.62, 2 Si 2.42
Mn 0.2168 0.2168 0.5000  8 Mn 2.35-2.62, 2 Si 2.42
Mn 0.2573 0.4750 0.2500  2 Mn 2.22-2.43
Mn 0.3710 0.1254 0.2500  7 Mn 2.35-2.55, 2 Si 2.36
Mn 0.3973 0.6027 0.5683  1 Mn 2.26
Mn 0.3973 0.6027 0.9317  1 Mn 2.26
Mn 0.4750 0.2573 0.7500  2 Mn 2.22-2.43
Mn 0.5250 0.7427 0.2500  2 Mn 2.22-2.43
Mn 0.6027 0.3973 0.0683  1 Mn 2.26
Mn 0.6027 0.3973 0.4317  1 Mn 2.26
Mn 0.6290 0.8746 0.7500  7 Mn 2.35-2.55, 2 Si 2.36
Mn 0.7427 0.5250 0.7500  2 Mn 2.22-2.43
Mn 0.7832 0.7832 0.0000  8 Mn 2.35-2.62, 2 Si 2.42
Mn 0.7832 0.7832 0.5000  8 Mn 2.35-2.62, 2 Si 2.42
Mn 0.8242 0.1758 0.6084  3 Mn 2.28-2.40, 2 Si 2.36
Mn 0.8242 0.1758 0.8916  3 Mn 2.28-2.40, 2 Si 2.36
Mn 0.8746 0.6290 0.2500  7 Mn 2.35-2.55, 2 Si 2.36
Si 0.0000 0.5000 0.0000  10 Mn 2.36-2.61
Si 0.0000 0.5000 0.5000  10 Mn 2.36-2.61
Si 0.5000 0.0000 0.0000  10 Mn 2.36-2.61
Si 0.5000 0.0000 0.5000  10 Mn 2.36-2.61

Record 4
The following is a DFT calculation (PBE) of a relaxed structure of Ba2CuSn3Pt4.

Properties
**DFT formation energy**: -673 meV per atom

abc: 4.7399 4.7399 10.6978
angles: 90.00 90.00 90.00
Closest atoms and distances in Å follow each position.
Fractional positions:
Ba 0.0000 0.5000 0.2450  2 Cu 3.53, 6 Sn 3.53-3.64, 9 Pt 3.60-3.93
Ba 0.5000 0.0000 0.7550  6 Sn 3.53-3.64, 2 Cu 3.53, 9 Pt 3.60-3.93
Cu 0.5000 0.5000 0.0000  4 Pt 2.71
Sn 0.0000 0.0000 0.0000  4 Pt 2.71
Sn 0.0000 0.5000 0.6224  5 Pt 2.71-2.73
Sn 0.5000 0.0000 0.3776  5 Pt 2.71-2.73
Pt 0.0000 0.0000 0.5000  4 Sn 2.71
Pt 0.0000 0.5000 0.8776  2 Cu 2.71, 3 Sn 2.71-2.73
Pt 0.5000 0.0000 0.1224  2 Cu 2.71, 3 Sn 2.71-2.73
Pt 0.5000 0.5000 0.5000  4 Sn 2.71

| no. | N(E_F) (states/eV/atom) |
| --- | --- |
| 1 | 0.046 |
| 2 | 0.507 |
| 3 | 1.126 |
| 4 | 0.445 |